The following is a PBE with a Hubbard U calculation of a relaxed La4MgGa2Fe2O12 crystal, from Alexandria via LeMat-Bulk.

Density of states at the Fermi level ... 0.00 states/eV per cell
Total DFT energy (no corrections) ... -149.176 eV/f.u.
SG ... P1 (1)
Energy above the lowest structure with this stoichiometry ... 0 meV per atom

```
data_La4MgGa2Fe2O12
_chemical_formula_sum 'La4 Mg1 Ga2 Fe2 O12'
_cell_length_a 5.7277
_cell_length_b 6.0052
_cell_length_c 8.4815
_cell_angle_alpha 88.38
_cell_angle_beta 83.60
_cell_angle_gamma 85.99
_symmetry_space_group_name_H-M 'P 1'
_symmetry_Int_Tables_number 1
loop_
_symmetry_equiv_pos_as_xyz
'x,y,z'
loop_
_atom_site_label
_atom_site_fract_x
_atom_site_fract_y
_atom_site_fract_z
Ga1 0.4606 0.9843 0.9587
O1 0.2040 0.1668 0.0663
Fe1 0.4950 0.1190 0.5350
O2 0.1198 0.4524 0.7621
La1 0.9651 0.0399 0.7539
La2 0.0564 0.9224 0.2712
Fe2 0.9798 0.5157 0.0005
O3 0.6351 0.0399 0.3143
O4 0.1869 0.1959 0.4536
La3 0.5234 0.5542 0.7716
O5 0.3835 0.9705 0.7423
O6 0.8410 0.7509 0.5577
O7 0.8259 0.5654 0.2278
O8 0.3023 0.6387 0.4205
La4 0.4625 0.3786 0.2005
Mg1 0.6227 0.7282 0.3967
Ga2 0.0462 0.4797 0.5439
O9 0.7467 0.3015 0.5965
O10 0.6633 0.2581 0.9455
O11 0.7465 0.7934 0.9194
O12 0.2929 0.7040 0.0453
```